(1)
Density functional theory data (PBE) for a geometry-optimized K6MoAs4 structure.

magnetization: 0.0 μB per formula unit
final energy: -81.7 eV for the cell shown
calculated formation energy: -0.4394 eV per atom

Unit cell a=8.200 b=10.333 c=10.333 alpha=120.00 beta=90.00 gamma=90.00
Fractional positions:
1 K 0.455 0.708 0.854
2 K 0.455 0.146 0.292
3 K 0.455 0.146 0.854
4 K 0.955 0.292 0.146
5 K 0.955 0.854 0.708
6 K 0.955 0.854 0.146
7 K 0.636 0.937 0.469
8 K 0.636 0.531 0.063
9 K 0.636 0.531 0.469
10 K 0.136 0.063 0.531
11 K 0.136 0.469 0.937
12 K 0.136 0.469 0.531
13 Mo 0.746 0.333 0.667
14 Mo 0.246 0.667 0.333
15 As 0.452 0.333 0.667
16 As 0.952 0.667 0.333
17 As 0.840 0.592 0.796
18 As 0.840 0.204 0.408
19 As 0.840 0.204 0.796
20 As 0.340 0.408 0.204
21 As 0.340 0.796 0.592
22 As 0.340 0.796 0.204

=====

(2)
Density functional theory data (PBE) for a geometry-optimized KMoAs2N structure.

raw formation energy: 2.6366 eV/atom
magnetization: 0.0 μB per formula unit
DOS at the Fermi energy: 1.015 states/eV per atom
final energy: -16.4 eV for the cell shown

Unit cell a=5.091 b=4.009 c=5.091 alpha=90.00 beta=90.00 gamma=90.00
Fractional positions:
1 K 0.000 0.000 0.000
2 Mo 0.500 0.500 0.500
3 As 0.000 0.000 0.500
4 As 0.500 0.000 0.000
5 N 0.000 0.500 0.000

=====

(3)
Density functional theory data (PBE) for a geometry-optimized KMoAsN2 structure.

raw formation energy: 1.1575 eV/atom
magnetization: 3.7 μB per formula unit
DOS at the Fermi energy: 0.445 states/eV per atom
final energy: -27.4 eV for the cell shown

Unit cell a=4.037 b=7.522 c=4.037 alpha=90.00 beta=90.00 gamma=90.00
Fractional positions:
1 K 0.000 0.500 0.000
2 Mo 0.000 0.000 0.000
3 As 0.500 0.500 0.500
4 N 0.000 0.000 0.500
5 N 0.500 0.000 0.000

=====

Repeat the third record exactly.
Density functional theory data (PBE) for a geometry-optimized KMoAsN2 structure.

raw formation energy: 1.1575 eV/atom
magnetization: 3.7 μB per formula unit
DOS at the Fermi energy: 0.445 states/eV per atom
final energy: -27.4 eV for the cell shown

Unit cell a=4.037 b=7.522 c=4.037 alpha=90.00 beta=90.00 gamma=90.00
Fractional positions:
1 K 0.000 0.500 0.000
2 Mo 0.000 0.000 0.000
3 As 0.500 0.500 0.500
4 N 0.000 0.000 0.500
5 N 0.500 0.000 0.000

=====

Among the records above, which one has the highest magnetization? KMoAsN2